Entry 1:
LaNd6Sm2Ho after structural relaxation. Source: the Alexandria database, functional PBE.

Summary:
For the calculated volume, the calculation gives 35.09 Å³ per atom. Its total DFT energy (no corrections) is -4.64 eV/atom. Its energy of formation is 0.111 eV/atom. The density of states at the Fermi level comes out at 1.478 states/eV per atom. As for the mass density: 6.96 g/cm3.

a b c (Å): 9.0054 9.0054 9.8625
angles (deg): 93.96 93.96 117.71
Positions (direct):
La: 0.0232 0.9768 0.7500
La: 0.9768 0.0232 0.2500
Nd: 0.0135 0.5659 0.6861
Nd: 0.1190 0.7495 0.0551
Nd: 0.2505 0.8810 0.4449
Nd: 0.2958 0.5073 0.8815
Nd: 0.4341 0.9865 0.8139
Nd: 0.4927 0.7042 0.6185
Nd: 0.5073 0.2958 0.3815
Nd: 0.5659 0.0135 0.1860
Nd: 0.7042 0.4927 0.1185
Nd: 0.7495 0.1190 0.5551
Nd: 0.8810 0.2505 0.9449
Nd: 0.9865 0.4341 0.3140
Sm: 0.1983 0.2982 0.5458
Sm: 0.2982 0.1983 0.0458
Sm: 0.7018 0.8017 0.9542
Sm: 0.8017 0.7018 0.4542
Ho: 0.4089 0.5911 0.2500
Ho: 0.5911 0.4089 0.7500

=====

Entry 2:
K3SeO4F after structural relaxation. Source: the Alexandria database, functional PBE.

Summary:
For the calculated volume, the calculation gives 18.07 Å³ per atom. Its total DFT energy (no corrections) is -4.86 eV/atom. The density of states at the Fermi level comes out at 0.000 states/eV per atom. As for the mass density: 2.85 g/cm3.

a b c (Å): 7.8688 7.8688 7.8688
angles (deg): 123.35 123.35 84.28
Positions (direct):
K: 0.1916 0.6916 0.8832
K: 0.2500 0.2500 0.0000
K: 0.3084 0.1916 0.5000
K: 0.6916 0.8084 0.5000
K: 0.7500 0.7500 0.0000
K: 0.8084 0.3084 0.1168
Se: 0.2500 0.7500 0.5000
Se: 0.7500 0.2500 0.5000
O: 0.0371 0.7924 0.5000
O: 0.2076 0.7076 0.2447
O: 0.2924 0.5371 0.5000
O: 0.4629 0.9629 0.7553
O: 0.5371 0.0371 0.2447
O: 0.7076 0.4629 0.5000
O: 0.7924 0.2924 0.7553
O: 0.9629 0.2076 0.5000
F: 0.0000 0.0000 0.0000
F: 0.5000 0.5000 0.0000

=====

Entry 3:
In5Hg7Pb after structural relaxation. Source: the Alexandria database, functional PBE.

Summary:
For the calculated volume, the calculation gives 28.15 Å³ per atom. Its total DFT energy (no corrections) is -1.45 eV/atom. Its energy of formation is 0.056 eV/atom. The density of states at the Fermi level comes out at 0.303 states/eV per atom. As for the mass density: 9.92 g/cm3.

a b c (Å): 8.2681 8.2681 8.2681
angles (deg): 135.53 95.48 101.00
Positions (direct):
In: 0.0000 0.0000 0.0000
In: 0.2238 0.2107 0.5118
In: 0.2238 0.7120 0.0132
In: 0.6988 0.2107 0.9868
In: 0.6988 0.7120 0.4882
Hg: 0.4146 0.4146 0.0000
Hg: 0.4230 0.2084 0.2146
Hg: 0.5755 0.7179 0.8576
Hg: 0.6697 0.1697 0.5000
Hg: 0.8604 0.7179 0.1424
Hg: 0.9938 0.2084 0.7854
Hg: 0.9942 0.4942 0.5000
Pb: 0.3119 0.8119 0.5000

=====

Entry 4:
Ag5SbAu5 after structural relaxation. Source: the Alexandria database, functional PBE.

Summary:
For the calculated volume, the calculation gives 21.36 Å³ per atom. Its total DFT energy (no corrections) is -2.94 eV/atom. The density of states at the Fermi level comes out at 0.442 states/eV per atom. As for the mass density: 11.63 g/cm3.

a b c (Å): 5.1435 5.1435 10.2568
angles (deg): 90.00 90.00 120.00
Positions (direct):
Ag: 0.0000 0.0000 0.2381
Ag: 0.0000 0.0000 0.7619
Ag: 0.3337 0.1669 0.0000
Ag: 0.8331 0.1669 0.0000
Ag: 0.8331 0.6663 0.0000
Sb: 0.3333 0.6667 0.5000
Au: 0.0000 0.0000 0.5000
Au: 0.3333 0.6667 0.2175
Au: 0.3333 0.6667 0.7825
Au: 0.6667 0.3333 0.2438
Au: 0.6667 0.3333 0.7562